(1)
A plane-wave DFT calculation with GGA-PBE was carried out for a geometry-optimized OsPtRh2 structure.

a = 2.7339 Å, b = 3.8614 Å, c = 5.5066 Å
α = 90.00°, β = 90.00°, γ = 90.00°
With the nearest neighbours (Å) after each atom.
Space group Pmmm (No. 47)
Asymmetric unit:
Os 0.0000 0.0000 0.0000 [1 per cell]  8 Rh 2.71, 2 Os 2.73, 2 Pt 2.75
Pt 0.0000 0.0000 0.5000 [1 per cell]  2 Pt 2.73, 2 Os 2.75, 8 Rh 2.77
Rh 0.5000 0.5000 0.2393 [2 per cell]  4 Rh 2.64-2.87, 4 Os 2.71, 4 Pt 2.77

Density (Mg/m³): 16.886
Energy relative to the elements (eV/f.u.): 0.01
Crystal system: orthorhombic

---

(2)
A plane-wave DFT calculation with GGA-PBE was carried out for a geometry-optimized Os2PtRh structure.

a = 6.2247 Å, b = 6.2247 Å, c = 6.2247 Å
α = 90.00°, β = 90.00°, γ = 90.00°
With the nearest neighbours (Å) after each atom.
Space group F-43m (No. 216)
Asymmetric unit:
Os 0.0000 0.0000 0.0000 [4 per cell]  4 Rh 2.70, 4 Os 2.70
Os 0.2500 0.2500 0.2500 [4 per cell]  4 Os 2.70, 4 Pt 2.70
Pt 0.0000 0.0000 0.5000 [4 per cell]  4 Os 2.70, 4 Rh 2.70
Rh 0.2500 0.2500 0.7500 [4 per cell]  4 Os 2.70, 4 Pt 2.70

Density (Mg/m³): 18.684
Energy relative to the elements (eV/f.u.): 2.30
Crystal system: cubic

---

(3)
A plane-wave DFT calculation with GGA-PBE was carried out for a geometry-optimized OsPtRh2 structure.

a = 6.2143 Å, b = 6.2143 Å, c = 6.2143 Å
α = 90.00°, β = 90.00°, γ = 90.00°
With the nearest neighbours (Å) after each atom.
Space group Fm-3m (No. 225)
Asymmetric unit:
Os 0.0000 0.0000 0.0000 [4 per cell]  8 Rh 2.69
Pt 0.0000 0.0000 0.5000 [4 per cell]  8 Rh 2.69
Rh 0.2500 0.2500 0.2500 [8 per cell]  4 Os 2.69, 4 Pt 2.69

Density (Mg/m³): 16.361
Energy relative to the elements (eV/f.u.): 1.69
Crystal system: cubic

---

(4)
A plane-wave DFT calculation with GGA-PBE was carried out for a geometry-optimized OsPtRh2 structure.

a = 9.1003 Å, b = 2.7223 Å, c = 4.7585 Å
α = 90.00°, β = 99.63°, γ = 90.00°
With the nearest neighbours (Å) after each atom.
Space group C2/m (No. 12)
Asymmetric unit:
Os 0.0000 0.0000 0.0000 [2 per cell]  6 Rh 2.71-2.74, 2 Os 2.72, 4 Pt 2.74
Pt 0.0000 0.5000 0.5000 [2 per cell]  2 Pt 2.72, 6 Rh 2.73-2.78, 4 Os 2.74
Rh 0.2464 0.5000 0.2407 [4 per cell]  6 Rh 2.67-2.81, 3 Os 2.71-2.74, 3 Pt 2.73-2.78

Density (Mg/m³): 16.891
Energy relative to the elements (eV/f.u.): 0.10
Crystal system: monoclinic